Entry 1:
NdCdInO3 | PBE-GGA | relaxed

Computed properties:
Total DFT energy (no corrections) ... -5.753 eV per atom
Space group ... No. 63

Lattice parameters (Å, degrees): 7.3712 7.3712 8.3807 90.00 90.00 151.53
Atoms (fractional coordinates):
Nd  0.0000  0.0000  0.0000
Nd  0.0000  0.0000  0.5000
Cd  0.3156  0.6844  0.7500
Cd  0.6844  0.3156  0.2500
In  0.3413  0.6587  0.2500
In  0.6587  0.3413  0.7500
O  0.0712  0.9288  0.7500
O  0.3949  0.6051  0.5287
O  0.3949  0.6051  0.9713
O  0.6051  0.3949  0.0287
O  0.6051  0.3949  0.4713
O  0.9288  0.0712  0.2500

Entry 2:
Li4ZnGaCu2 | PBE-GGA | relaxed

Computed properties:
Total DFT energy (no corrections) ... -2.617 eV per atom
Space group ... No. 115

Lattice parameters (Å, degrees): 4.2286 4.2286 5.9503 90.00 90.00 90.00
Atoms (fractional coordinates):
Li  0.0000  0.0000  0.0000
Li  0.0000  0.5000  0.2480
Li  0.5000  0.0000  0.7520
Li  0.5000  0.5000  0.5000
Zn  0.5000  0.5000  0.0000
Ga  0.0000  0.0000  0.5000
Cu  0.0000  0.5000  0.7462
Cu  0.5000  0.0000  0.2538

Entry 3:
HfSiGe | PBE-GGA | relaxed

Computed properties:
Total DFT energy (no corrections) ... -6.475 eV per atom
Polymorph energy (0 for the lowest one) ... 0 meV/atom
Space group ... No. 216

Lattice parameters (Å, degrees): 4.4162 4.4162 4.4162 60.00 60.00 60.00
Atoms (fractional coordinates):
Hf  0.0000  0.0000  0.0000
Si  0.7500  0.7500  0.7500
Ge  0.5000  0.5000  0.5000

Entry 4:
CsHfAgS3 | PBE-GGA | relaxed

Computed properties:
Total DFT energy (no corrections) ... -5.496 eV per atom
Space group ... No. 62

Lattice parameters (Å, degrees): 11.3492 3.7549 15.6368 90.00 90.00 90.00
Atoms (fractional coordinates):
Cs  0.2145  0.2500  0.0120
Cs  0.2855  0.7500  0.5120
Cs  0.7145  0.2500  0.4880
Cs  0.7855  0.7500  0.9880
Hf  0.0065  0.2500  0.2703
Hf  0.4935  0.7500  0.7703
Hf  0.5065  0.2500  0.2297
Hf  0.9935  0.7500  0.7297
Ag  0.2315  0.7500  0.2333
Ag  0.2685  0.2500  0.7333
Ag  0.7315  0.7500  0.2667
Ag  0.7685  0.2500  0.7667
S  0.0254  0.7500  0.1570
S  0.0897  0.2500  0.6422
S  0.1905  0.2500  0.3413
S  0.3095  0.7500  0.8413
S  0.4103  0.7500  0.1422
S  0.4746  0.2500  0.6570
S  0.5254  0.7500  0.3430
S  0.5897  0.2500  0.8578
S  0.6905  0.2500  0.1587
S  0.8095  0.7500  0.6587
S  0.9103  0.7500  0.3578
S  0.9746  0.2500  0.8430